## CrIr2Rh (GGA-PBE)

Data for an optimized crystal structure of CrIr2Rh.

Unit cell a=2.7003 b=3.7704 c=5.4227 alpha=90.00 beta=90.00 gamma=90.00
With the nearest neighbours (Å) after each atom.
Sites, in units of the cell vectors:
Ir 0.0000 0.0000 0.9919  4 Ir 2.62-2.80, 4 Cr 2.66, 4 Rh 2.71
Ir 0.0000 0.0000 0.5081  4 Ir 2.62-2.80, 4 Cr 2.66, 4 Rh 2.71
Rh 0.5000 0.5000 0.2500  2 Rh 2.70, 8 Ir 2.71, 2 Cr 2.71
Cr 0.5000 0.5000 0.7500  8 Ir 2.66, 2 Cr 2.70, 2 Rh 2.71

## Properties
- Energy of formation: -0.11 eV per atom
- DFT total energy: -8.7857 eV/atom
- Total magnetization: 0.656 μB per cell